Material: NpAuS4
Method: DFT, GGA-PBE
State: relaxed

Its total energy is -5.7792 eV per atom. As for the energy relative to the elements, uncorrected: -0.325 eV/atom. As for the density of states at the Fermi level: 1.232 states/eV per atom. The density comes out at 7.1 g/cm3. Its volume is 131.1 Å³/f.u. The crystal system is orthorhombic.

The structure belongs to space group Cmcm (No. 63); the cell edges are 8.643, 6.777 and 8.955 Å and the angles 90.00°, 90.00° and 90.00°. The distinct sites, in fractional coordinates, are Np at (0.000, 0.063, 0.250), Au at (0.000, 0.437, 0.750), S at (0.000, 0.205, 0.534) and S at (0.220, 0.338, 0.250).

---

Material: Dy5ErCd4
Method: DFT, GGA-PBE
State: relaxed

Its total energy is -3.3602 eV per atom. As for the density of states at the Fermi level: 1.344 states/eV per atom. The density comes out at 8.7 g/cm3. Its volume is 273.8 Å³/f.u. The crystal system is tetragonal. For the calculated formation energy, the calculation gives -0.2368 eV/atom.

The structure belongs to space group P4/mmm (No. 123); the cell edges are 3.674, 3.674 and 20.281 Å and the angles 90.00°, 90.00° and 90.00°. The distinct sites, in fractional coordinates, are Dy at (0.000, 0.000, 0.000), Dy at (0.000, 0.000, 0.189), Dy at (0.000, 0.000, 0.381), Er at (0.500, 0.500, 0.500), Cd at (0.500, 0.500, 0.095) and Cd at (0.500, 0.500, 0.285).

---

Material: Li3Pd3Rh
Method: DFT, GGA-PBE
State: relaxed

Its total energy is -4.2625 eV per atom. As for the density of states at the Fermi level: 1.039 states/eV per atom. The density comes out at 6.8 g/cm3. Its volume is 107.4 Å³/f.u. The crystal system is trigonal. For the calculated formation energy, the calculation gives -0.1666 eV/atom.

The structure belongs to space group R3m (No. 160, hexagonal axes); the cell edges are 8.4977, 8.4977 and 5.1544 Å and the angles 90.00°, 90.00° and 120.00°. The distinct sites, in fractional coordinates, are Li at (0.1773, 0.3546, 0.0000), Pd at (0.0077, 0.5038, 0.1780) and Rh at (0.0000, 0.0000, 0.7389).

---

Material: Zn2As2Rh
Method: DFT, GGA-PBE
State: relaxed

Its total energy is -3.8261 eV per atom. As for the density of states at the Fermi level: 0.566 states/eV per atom. The density comes out at 7.1 g/cm3. Its volume is 89.5 Å³/f.u. The crystal system is tetragonal. For the calculated formation energy, the calculation gives 0.0136 eV/atom.

The structure belongs to space group P4/mbm (No. 127); the cell edges are 6.337, 6.337 and 4.455 Å and the angles 90.00°, 90.00° and 90.00°. The distinct sites, in fractional coordinates, are Zn at (0.193, 0.307, 0.000), As at (0.142, 0.642, 0.500) and Rh at (0.000, 0.000, 0.500).

---

Material: La3PrY8
Method: DFT, GGA-PBE
State: relaxed

Its total energy is -5.9161 eV per atom. As for the density of states at the Fermi level: 1.547 states/eV per atom. The density comes out at 5.2 g/cm3. Its volume is 405.1 Å³/f.u. The crystal system is monoclinic. For the calculated formation energy, the calculation gives 0.0234 eV/atom.

The structure belongs to space group Cm (No. 8); the cell edges are 10.275, 10.282 and 8.081 Å and the angles 90.00°, 108.39° and 90.00°. The distinct sites, in fractional coordinates, are La at (0.000, 0.000, 0.000), La at (0.084, 0.250, 0.332), Pr at (0.334, 0.000, 0.335), Y at (0.001, 0.500, 0.998), Y at (0.167, 0.500, 0.667), Y at (0.168, 0.000, 0.666), Y at (0.250, 0.251, 0.995), Y at (0.335, 0.500, 0.332) and Y at (0.418, 0.249, 0.669).

---

Material: Cs2GeCF6
Method: DFT, GGA-PBE
State: relaxed

Its total energy is -4.2278 eV per atom. As for the energy relative to the elements, uncorrected: -1.550 eV/atom. As for the density of states at the Fermi level: 0.000 states/eV per atom. The density comes out at 4.7 g/cm3. Its volume is 163.1 Å³/f.u. The crystal system is cubic.

The structure belongs to space group Fm-3m (No. 225); the cell edges are 8.673, 8.673 and 8.673 Å and the angles 90.00°, 90.00° and 90.00°. The distinct sites, in fractional coordinates, are Cs at (0.250, 0.250, 0.250), Ge at (0.000, 0.000, 0.000), C at (0.000, 0.000, 0.500) and F at (0.000, 0.000, 0.261).